Entry from the Alexandria database: an optimized crystal structure of Nd4CuSe3 (PBE).

Structure (extended XYZ):
```
8
Lattice="-1.117 1.205 -3.820 -4.725 -5.636 -0.396 -3.467 5.837 2.855" Properties=species:S:1:pos:R:3 pbc="T T T"
Nd -4.971 -2.179 -1.497
Nd -4.339 3.585 0.137
Nd -6.199 0.152 1.861
Nd -1.993 0.049 0.598
Se -1.733 2.918 1.428
Se -4.655 0.703 -0.680
Se -2.362 -2.818 -0.198
Cu -0.559 0.602 -1.910
```

Values from the calculation:
- size of the total moment (μB per cell) = 0.00
- E_tot (eV/cell) = -44.94